# Pr5Nd3Tl3

Crystalline Pr5Nd3Tl3 at its relaxed geometry (PBE, the Alexandria database).

VASP energy   -3.979 eV/atom
Energy of formation   0.139 eV per atom

Unit cell a=11.209 b=11.209 c=3.540 alpha=90.00 beta=90.00 gamma=120.00
Fractional positions:
Pr: 0.000 0.702 0.000
Pr: 0.298 0.298 0.000
Pr: 0.333 0.667 0.000
Pr: 0.667 0.333 0.000
Pr: 0.702 0.000 0.000
Nd: 0.000 0.394 0.000
Nd: 0.394 0.000 0.000
Nd: 0.606 0.606 0.000
Tl: 0.000 0.159 0.500
Tl: 0.159 0.000 0.500
Tl: 0.841 0.841 0.500

# La2ScSn4Pd3

Crystalline La2ScSn4Pd3 at its relaxed geometry (PBE, the Alexandria database).

VASP energy   -5.578 eV/atom
Energy of formation   -0.801 eV per atom

Unit cell a=4.477 b=4.477 c=11.983 alpha=90.00 beta=90.00 gamma=90.00
Fractional positions:
La: 0.000 0.500 0.240
La: 0.500 0.000 0.760
Sc: 0.000 0.000 0.500
Sn: 0.000 0.000 0.000
Sn: 0.000 0.500 0.649
Sn: 0.500 0.000 0.351
Sn: 0.500 0.500 0.000
Pd: 0.000 0.500 0.870
Pd: 0.500 0.000 0.130
Pd: 0.500 0.500 0.500